Record 1
The following is a PBE-GGA calculation of Y2CuRh after structural relaxation, from Alexandria.

Computed properties:
Its space group is F-43m (216). The value obtained for the uncorrected energy is -6.283 eV per atom. Its crystal system is cubic.

abc: 4.7832 4.7832 4.7832
angles: 60.00 60.00 60.00
With the nearest neighbours (Å) after each atom.
Positions (direct):
Y 0.2500 0.2500 0.2500  4 Cu 2.93, 4 Y 2.93
Y 0.0000 0.0000 0.0000  4 Rh 2.93, 4 Y 2.93
Cu 0.5000 0.5000 0.5000  4 Rh 2.93, 4 Y 2.93
Rh 0.7500 0.7500 0.7500  4 Cu 2.93, 4 Y 2.93


Record 2
The following is a PBE-GGA calculation of PaGa4Co after structural relaxation, from Alexandria.

Computed properties:
Its space group is Cmcm (63). The value obtained for the uncorrected energy is -5.182 eV per atom. Its crystal system is orthorhombic. The value obtained for the polymorph energy (0 for the lowest one) is 0.00 eV/f.u.

abc: 4.0857 6.6065 7.8564
angles: 90.00 105.07 90.00
With the nearest neighbours (Å) after each atom.
Positions (direct):
Ga 0.3138 0.0551 0.6276  3 Co 2.38-2.51, 1 Ga 2.58
Ga 0.5000 0.0000 0.0000  6 Ga 2.85-2.86, 4 Pa 3.19
Ga 0.5000 0.5000 0.0000  6 Ga 2.85-2.86, 4 Pa 3.19
Ga 0.6862 0.9449 0.3724  3 Co 2.38-2.51, 1 Ga 2.58
Ga 0.0743 0.7500 0.1485  1 Co 2.37
Ga 0.6862 0.5551 0.3724  3 Co 2.38-2.51, 1 Ga 2.58
Ga 0.3138 0.4449 0.6276  3 Co 2.38-2.51, 1 Ga 2.58
Ga 0.9257 0.2500 0.8515  1 Co 2.37
Co 0.7696 0.2500 0.5393  7 Ga 2.37-2.51
Co 0.2304 0.7500 0.4607  7 Ga 2.37-2.51
Pa 0.1191 0.2500 0.2382  11 Ga 2.93-3.22, 2 Co 3.06
Pa 0.8809 0.7500 0.7618  11 Ga 2.93-3.22, 2 Co 3.06


Record 3
The following is a PBE-GGA calculation of Er2Sc2Tl2O after structural relaxation, from Alexandria.

Computed properties:
The raw formation energy comes out at -1.12 eV per atom. Its space group is I4/mmm (139). The value obtained for the uncorrected energy is -5.619 eV per atom. Its crystal system is tetragonal.

abc: 4.4276 4.4276 8.5462
angles: 105.01 105.01 90.00
With the nearest neighbours (Å) after each atom.
Positions (direct):
Tl 0.3640 0.3640 0.7280  4 Sc 3.09, 5 Er 3.15-3.17
Tl 0.6360 0.6360 0.2720  4 Sc 3.09, 5 Er 3.15-3.17
Sc 0.0000 0.5000 0.0000  2 O 2.21
Sc 0.5000 0.0000 0.0000  2 O 2.21
Er 0.1657 0.1657 0.3314  1 O 2.64
Er 0.8343 0.8343 0.6686  1 O 2.64
O 0.0000 0.0000 0.0000  4 Sc 2.21


Record 4
The following is a PBE-GGA calculation of LaBeRuI2 after structural relaxation, from Alexandria.

Computed properties:
The raw formation energy comes out at -0.01 eV per atom. Its space group is P4/mmm (123). The value obtained for the uncorrected energy is -4.214 eV per atom. Its crystal system is tetragonal.

abc: 5.4326 4.2306 5.4326
angles: 90.00 90.00 90.00
With the nearest neighbours (Å) after each atom.
Positions (direct):
I 0.0000 0.0000 0.5000  2 Ru 2.72
I 0.5000 0.0000 0.0000  2 Ru 2.72
Be 0.0000 0.5000 0.0000  2 Ru 2.12
Ru 0.0000 0.0000 0.0000  2 Be 2.12
La 0.5000 0.5000 0.5000  8 I 3.44, 4 Be 3.84


Record 5
The following is a PBE-GGA calculation of LiNdThAu after structural relaxation, from Alexandria.

Computed properties:
Its space group is F-43m (216). The value obtained for the uncorrected energy is -4.541 eV per atom. Its crystal system is cubic.

abc: 5.2586 5.2586 5.2586
angles: 60.00 60.00 60.00
With the nearest neighbours (Å) after each atom.
Positions (direct):
Nd 0.7500 0.7500 0.7500  4 Li 3.22, 4 Au 3.22
Au 0.5000 0.5000 0.5000  4 Nd 3.22, 4 Th 3.22
Th 0.2500 0.2500 0.2500  4 Li 3.22, 4 Au 3.22
Li 0.0000 0.0000 0.0000  4 Th 3.22, 4 Nd 3.22


Record 6
The following is a PBE-GGA calculation of CaAgRh2N after structural relaxation, from Alexandria.

Computed properties:
The raw formation energy comes out at -0.18 eV per atom. Its space group is P4/mmm (123). The value obtained for the uncorrected energy is -5.754 eV per atom. Its crystal system is tetragonal.

abc: 4.0819 4.0819 4.6989
angles: 90.00 90.00 90.00
With the nearest neighbours (Å) after each atom.
Positions (direct):
Rh 0.5000 0.0000 0.0000  2 N 2.04
Rh 0.0000 0.5000 0.0000  2 N 2.04
Ca 0.0000 0.0000 0.5000  2 N 2.35
N 0.0000 0.0000 0.0000  4 Rh 2.04
Ag 0.5000 0.5000 0.5000  4 Ca 2.89, 8 Rh 3.11


Record 7
The following is a PBE-GGA calculation of AcPm6Ho after structural relaxation, from Alexandria.

Computed properties:
Its space group is P4/mmm (123). The value obtained for the uncorrected energy is -4.619 eV per atom. Its crystal system is tetragonal. The value obtained for the polymorph energy (0 for the lowest one) is 0.00 eV/f.u.

abc: 5.1975 5.1975 10.3895
angles: 90.00 90.00 90.00
With the nearest neighbours (Å) after each atom.
Positions (direct):
Pm 0.5000 0.0000 0.2581  2 Ho 3.62, 8 Pm 3.62-3.73, 2 Ac 3.73
Pm 0.5000 0.5000 0.0000  4 Ac 3.68, 8 Pm 3.73
Pm 0.5000 0.0000 0.7419  2 Ho 3.62, 8 Pm 3.62-3.73, 2 Ac 3.73
Pm 0.5000 0.5000 0.5000  8 Pm 3.62, 4 Ho 3.68
Pm 0.0000 0.5000 0.2581  2 Ho 3.62, 8 Pm 3.62-3.73, 2 Ac 3.73
Pm 0.0000 0.5000 0.7419  8 Pm 3.62-3.73, 2 Ho 3.62, 2 Ac 3.73
Ac 0.0000 0.0000 0.0000  12 Pm 3.68-3.73
Ho 0.0000 0.0000 0.5000  12 Pm 3.62-3.68


Record 8
The following is a PBE-GGA calculation of Li2Pa2Pt7 after structural relaxation, from Alexandria.

Computed properties:
Its space group is Imm2 (44). The value obtained for the uncorrected energy is -6.712 eV per atom. Its crystal system is orthorhombic.

abc: 4.1362 7.9477 7.9477
angles: 49.58 74.92 74.92
With the nearest neighbours (Å) after each atom.
Positions (direct):
Pa 0.2805 0.3215 0.1174  9 Pt 2.84-3.08
Pa 0.7195 0.8826 0.6785  9 Pt 2.84-3.08
Li 0.0000 0.6122 0.3878  4 Pt 2.46-2.54, 2 Li 2.61
Li 0.5000 0.3742 0.6258  7 Pt 2.37-2.62, 2 Li 2.61
Pt 0.1145 0.7793 0.9917  1 Li 2.46, 2 Pt 2.74
Pt 0.3597 0.7579 0.5226  1 Li 2.53, 2 Pt 2.79
Pt 0.5000 0.0190 0.9810  1 Li 2.37
Pt 0.8855 0.0083 0.2207  1 Li 2.46, 2 Pt 2.74
Pt 0.1126 0.1981 0.5767  3 Li 2.54-2.62, 1 Pt 2.78
Pt 0.6403 0.4774 0.2421  1 Li 2.53, 2 Pt 2.79
Pt 0.8874 0.4233 0.8019  3 Li 2.54-2.62, 1 Pt 2.78


Record 9
The following is a PBE-GGA calculation of Sm9Er2Sc after structural relaxation, from Alexandria.

Computed properties:
Its space group is P4/mmm (123). The value obtained for the uncorrected energy is -4.802 eV per atom. Its crystal system is tetragonal.

abc: 5.0586 5.0586 15.1744
angles: 90.00 90.00 90.00
With the nearest neighbours (Å) after each atom.
Positions (direct):
Sm 0.0000 0.5000 0.1630  8 Sm 3.54-3.60, 2 Sc 3.54, 2 Er 3.60
Sm 0.0000 0.5000 0.5000  8 Sm 3.58-3.60, 4 Er 3.60
Sm 0.5000 0.0000 0.8370  2 Sc 3.54, 8 Sm 3.54-3.60, 2 Er 3.60
Sm 0.5000 0.0000 0.1630  2 Sc 3.54, 8 Sm 3.54-3.60, 2 Er 3.60
Sm 0.5000 0.5000 0.6686  4 Er 3.58, 8 Sm 3.60
Sm 0.5000 0.0000 0.5000  8 Sm 3.58-3.60, 4 Er 3.60
Sm 0.5000 0.5000 0.0000  8 Sm 3.54, 4 Sc 3.58
Sm 0.0000 0.5000 0.8370  2 Sc 3.54, 8 Sm 3.54-3.60, 2 Er 3.60
Sm 0.5000 0.5000 0.3314  4 Er 3.58, 8 Sm 3.60
Er 0.0000 0.0000 0.3316  12 Sm 3.58-3.60
Er 0.0000 0.0000 0.6684  12 Sm 3.58-3.60
Sc 0.0000 0.0000 0.0000  12 Sm 3.54-3.58


Record 10
The following is a PBE-GGA calculation of NaZr2Ru2 after structural relaxation, from Alexandria.

Computed properties:
Its space group is P4/mbm (127). The value obtained for the uncorrected energy is -7.513 eV per atom. Its crystal system is tetragonal.

abc: 7.8018 7.8018 3.1988
angles: 90.00 90.00 90.00
With the nearest neighbours (Å) after each atom.
Positions (direct):
Ru 0.6394 0.1394 0.0000  6 Zr 2.77-2.82, 2 Na 3.02, 1 Ru 3.08
Ru 0.3606 0.8606 0.0000  6 Zr 2.77-2.82, 2 Na 3.02, 1 Ru 3.08
Ru 0.1394 0.3606 0.0000  6 Zr 2.77-2.82, 2 Na 3.02, 1 Ru 3.08
Ru 0.8606 0.6394 0.0000  6 Zr 2.77-2.82, 2 Na 3.02, 1 Ru 3.08
Zr 0.6496 0.8504 0.5000  6 Ru 2.77-2.82
Zr 0.8504 0.3504 0.5000  6 Ru 2.77-2.82
Zr 0.1496 0.6496 0.5000  6 Ru 2.77-2.82
Zr 0.3504 0.1496 0.5000  6 Ru 2.77-2.82
Na 0.0000 0.0000 0.0000  4 Ru 3.02, 2 Na 3.20, 8 Zr 3.38
Na 0.5000 0.5000 0.0000  4 Ru 3.02, 2 Na 3.20, 8 Zr 3.38


Record 11
The following is a PBE-GGA calculation of Y2HoIr after structural relaxation, from Alexandria.

Computed properties:
Its space group is Cmcm (63). The value obtained for the uncorrected energy is -7.127 eV per atom. Its crystal system is orthorhombic. The value obtained for the polymorph energy (0 for the lowest one) is 0.16 eV/f.u.

abc: 3.8796 6.3630 9.1662
angles: 90.00 90.00 107.75
With the nearest neighbours (Å) after each atom.
Positions (direct):
Ho 0.5766 0.1529 0.7500  2 Ir 2.82
Ho 0.4234 0.8471 0.2500  2 Ir 2.82
Y 0.8589 0.7179 0.9333  3 Ir 2.91-3.17
Y 0.1411 0.2821 0.0667  3 Ir 2.91-3.17
Y 0.8589 0.7179 0.5667  3 Ir 2.91-3.17
Y 0.1411 0.2821 0.4333  3 Ir 2.91-3.17
Ir 0.7548 0.5098 0.2500  2 Ho 2.82, 4 Y 2.91
Ir 0.2452 0.4902 0.7500  2 Ho 2.82, 4 Y 2.91


Record 12
The following is a PBE-GGA calculation of KHgS after structural relaxation, from Alexandria.

Computed properties:
The raw formation energy comes out at -0.46 eV per atom. Its space group is P-6m2 (187). The value obtained for the uncorrected energy is -2.300 eV per atom. Its crystal system is hexagonal. The value obtained for the polymorph energy (0 for the lowest one) is 0.28 eV/f.u.

abc: 4.5915 4.8055 4.8055
angles: 120.00 90.00 90.00
With the nearest neighbours (Å) after each atom.
Positions (direct):
S 0.1671 0.3333 0.6667  3 Hg 2.77
Hg 0.1664 0.0000 0.0000  3 S 2.77
K 0.6665 0.6667 0.3333  6 S 3.60, 6 Hg 3.60